Arrangement a

U2FeCo: relaxed, GGA-PBE.

The structure in POSCAR format:
```
U2FeCo
1.0
4.9140 0.1065 0.0000
-0.0913 4.2435 0.0000
0.0000 0.0000 6.0406
Fe Co U
2 2 4
Direct
0.1845 0.7493 0.7500 Fe
0.8155 0.2507 0.2500 Fe
0.1494 0.7507 0.2500 Co
0.8506 0.2493 0.7500 Co
0.3150 0.2502 0.0221 U
0.6850 0.7498 0.9779 U
0.3150 0.2502 0.4779 U
0.6850 0.7498 0.5221 U
```

***

Arrangement b

U2FeCo: relaxed, GGA-PBE.

The structure in POSCAR format:
```
U2FeCo
1.0
4.2606 0.0000 0.0000
2.1303 3.6898 0.0000
2.1303 1.2299 4.2615
Fe Co U
1 1 2
Direct
0.5000 0.5000 0.5000 Fe
0.0000 0.0000 0.0000 Co
0.7521 0.7521 0.7438 U
0.2479 0.2479 0.2562 U
```

***

Most stable to least stable, the ends of the list are arrangement a and arrangement b.

***

Arrangement a

VFeCo4: relaxed, GGA-PBE.

The structure in POSCAR format:
```
VFeCo4
1.0
-4.3462 -0.6214 -0.3641
0.8440 -6.1993 0.4867
2.1844 3.8771 5.1238
Co V Fe
8 2 2
Direct
0.0000 0.1898 0.9999 Co
0.6901 0.3115 0.2413 Co
0.3097 0.0702 0.7584 Co
0.3099 0.6885 0.7587 Co
0.9388 0.3260 0.6516 Co
0.6903 0.9298 0.2416 Co
0.0000 0.8102 0.0001 Co
0.0612 0.6740 0.3484 Co
0.2942 0.2047 0.4091 V
0.7058 0.7953 0.5909 V
0.6538 0.4445 0.8890 Fe
0.3462 0.5555 0.1110 Fe
```

***

Arrangement b

VFeCo4: relaxed, GGA-PBE.

The structure in POSCAR format:
```
VFeCo4
1.0
4.6288 0.0000 0.0000
2.3144 4.0087 0.0000
2.3144 1.3362 3.7794
V Fe Co
1 1 4
Direct
0.2500 0.2500 0.2500 V
0.0000 0.0000 0.0000 Fe
0.1241 0.6253 0.6253 Co
0.6253 0.6253 0.6253 Co
0.6253 0.6253 0.1241 Co
0.6253 0.1241 0.6253 Co
```

***

Arrangement c

VFeCo4: relaxed, GGA-PBE.

The structure in POSCAR format:
```
VFeCo4
1.0
4.5482 0.0000 0.0000
0.0000 4.5482 0.0000
-2.2741 -2.2741 8.3045
Co V Fe
8 2 2
Direct
0.6240 0.3717 0.2481 Co
0.6264 0.8740 0.7481 Co
0.1217 0.8740 0.7481 Co
0.1260 0.8783 0.2519 Co
0.1260 0.3736 0.2519 Co
0.6283 0.3760 0.7519 Co
0.6240 0.8764 0.2481 Co
0.1236 0.3760 0.7519 Co
0.2500 0.7500 0.5000 V
0.5000 0.5000 0.0000 V
0.7500 0.2500 0.5000 Fe
0.0000 0.0000 0.0000 Fe
```

***

Most stable to least stable, the ends of the list are arrangement b and arrangement c.

***

Arrangement a

VFe2Co: relaxed, GGA-PBE.

The structure in POSCAR format:
```
VFe2Co
1.0
3.5752 0.0000 0.0000
0.0000 3.5654 0.0000
0.0000 0.0000 3.5654
V Co Fe
1 1 2
Direct
0.5000 0.5000 0.5000 V
0.5000 0.0000 0.0000 Co
0.0000 0.0000 0.5000 Fe
0.0000 0.5000 0.0000 Fe
```

***

Arrangement b

VFe2Co: relaxed, GGA-PBE.

The structure in POSCAR format:
```
VFe2Co
1.0
-2.1458 2.4708 -0.7800
-2.2689 -2.2809 -0.9834
-5.4655 -0.1686 7.2469
Co Fe V
2 4 2
Direct
0.0000 0.0000 0.0000 Co
0.7500 0.2500 0.5000 Co
0.6296 0.1250 0.2500 Fe
0.3750 0.3704 0.7500 Fe
0.1204 0.6250 0.2500 Fe
0.8750 0.8796 0.7500 Fe
0.5000 0.5000 0.0000 V
0.2500 0.7500 0.5000 V
```

***

Most stable to least stable, the ends of the list are arrangement a and arrangement b.

***

Arrangement a

V3FeCo: relaxed, GGA-PBE.

The structure in POSCAR format:
```
V3FeCo
1.0
-5.4386 -1.2728 0.2752
0.7181 -4.5404 5.1792
-1.1310 3.5082 5.8625
Co Fe V
4 4 12
Direct
0.3498 0.7798 0.7530 Co
0.6502 0.2202 0.2470 Co
0.8498 0.7530 0.7798 Co
0.1502 0.2470 0.2202 Co
0.7500 0.6883 0.3117 Fe
0.2500 0.9936 0.0064 Fe
0.2500 0.3117 0.6883 Fe
0.7500 0.0064 0.9936 Fe
0.1079 0.6386 0.5599 V
0.9190 0.3217 0.9148 V
0.4190 0.9148 0.3217 V
0.9315 0.9606 0.3303 V
0.6079 0.5599 0.6386 V
0.5685 0.6697 0.0394 V
0.5810 0.0852 0.6783 V
0.3921 0.4401 0.3614 V
0.0685 0.0394 0.6697 V
0.4315 0.3303 0.9606 V
0.0810 0.6783 0.0852 V
0.8921 0.3614 0.4401 V
```

***

Arrangement b

V3FeCo: relaxed, GGA-PBE.

The structure in POSCAR format:
```
V3FeCo
1.0
4.2370 0.0000 0.0000
0.0000 4.2370 0.0000
0.0000 0.0000 4.2370
V Fe Co
3 1 1
Direct
0.5000 0.0000 0.0000 V
0.0000 0.0000 0.5000 V
0.0000 0.5000 0.0000 V
0.0000 0.0000 0.0000 Fe
0.5000 0.5000 0.5000 Co
```

***

Most stable to least stable, the ends of the list are arrangement a and arrangement b.

***

Arrangement a

V2FeCo4: relaxed, GGA-PBE.

The structure in POSCAR format:
```
V2FeCo4
1.0
3.3622 0.0000 0.0000
0.0000 4.9416 -0.7286
0.0000 0.8552 4.9213
V Co Fe
2 4 1
Direct
0.0000 0.2149 0.7851 V
0.0000 0.7851 0.2149 V
0.0000 0.7472 0.7472 Co
0.5000 0.0000 0.5000 Co
0.0000 0.2528 0.2528 Co
0.5000 0.5000 0.0000 Co
0.5000 0.5000 0.5000 Fe
```

***

Arrangement b

V2FeCo4: relaxed, GGA-PBE.

The structure in POSCAR format:
```
V2FeCo4
1.0
4.3777 -1.0257 -0.0815
-0.9530 6.0346 -1.3042
-2.0550 -3.8384 7.3779
Fe Co V
2 8 4
Direct
0.2323 0.8252 0.4639 Fe
0.0512 0.9143 0.9600 Fe
0.0182 0.5590 0.6103 Co
0.7417 0.6872 0.1008 Co
0.3775 0.1396 0.8332 Co
0.1088 0.4108 0.1071 Co
0.6805 0.8333 0.6649 Co
0.5558 0.9087 0.9611 Co
0.0967 0.2588 0.3193 Co
0.4096 0.9806 0.2517 Co
0.4841 0.3890 0.6464 V
0.0556 0.4406 0.8601 V
0.8053 0.9971 0.4632 V
0.6329 0.4058 0.2579 V
```

***

Most stable to least stable, the ends of the list are arrangement b and arrangement a.

***

Arrangement a

Fe2Co2W: relaxed, GGA-PBE.

The structure in POSCAR format:
```
Fe2Co2W
1.0
-5.7245 3.5694 0.3522
-2.6262 -4.6229 4.1672
0.9376 1.3028 2.0362
Co W Fe
4 2 4
Direct
0.1734 0.6734 0.5000 Co
0.6734 0.8266 0.5000 Co
0.3266 0.1734 0.5000 Co
0.8266 0.3266 0.5000 Co
0.5000 0.5000 0.0000 W
0.0000 0.0000 0.0000 W
0.1225 0.3775 0.0000 Fe
0.8775 0.6225 0.0000 Fe
0.3775 0.8775 0.0000 Fe
0.6225 0.1225 0.0000 Fe
```

***

Arrangement b

Fe2Co2W: relaxed, GGA-PBE.

The structure in POSCAR format:
```
Fe2Co2W
1.0
-1.8700 3.8990 -5.1217
-6.2031 0.3332 2.5184
0.6591 2.0862 1.3475
Co W Fe
4 2 4
Direct
0.1221 0.3779 0.0000 Co
0.8779 0.6221 0.0000 Co
0.6221 0.1221 0.0000 Co
0.3779 0.8779 0.0000 Co
0.5000 0.5000 0.0000 W
0.0000 0.0000 0.0000 W
0.6733 0.8267 0.5000 Fe
0.3267 0.1733 0.5000 Fe
0.8267 0.3267 0.5000 Fe
0.1733 0.6733 0.5000 Fe
```

***

Most stable to least stable, the ends of the list are arrangement a and arrangement b.

***

Arrangement a

Fe3CoW: relaxed, GGA-PBE.

The structure in POSCAR format:
```
Fe3CoW
1.0
4.1901 0.0000 0.0000
0.0000 4.1901 0.0000
0.0000 0.0000 4.1901
Fe Co W
3 1 1
Direct
0.5000 0.0000 0.0000 Fe
0.0000 0.5000 0.0000 Fe
0.0000 0.0000 0.5000 Fe
0.0000 0.0000 0.0000 Co
0.5000 0.5000 0.5000 W
```

***

Arrangement b

Fe3CoW: relaxed, GGA-PBE.

The structure in POSCAR format:
```
Fe3CoW
1.0
-0.6281 4.1615 1.3711
-2.9141 0.6376 -3.2702
-3.2720 -1.3667 2.6493
Fe Co W
3 1 1
Direct
0.5000 0.0000 0.0000 Fe
0.0000 0.0000 0.5000 Fe
0.0000 0.5000 0.0000 Fe
0.5000 0.5000 0.5000 Co
0.0000 0.0000 0.0000 W
```

***

Most stable to least stable, the ends of the list are arrangement a and arrangement b.

***

Arrangement a

FeCo2W2: relaxed, GGA-PBE.

The structure in POSCAR format:
```
FeCo2W2
1.0
-2.7817 -0.1840 1.2819
-0.7915 -2.1624 -2.0280
0.6293 -6.2857 4.1355
Co W Fe
2 2 1
Direct
0.7500 0.2500 0.5000 Co
0.2500 0.7500 0.5000 Co
0.6061 0.6061 0.7877 W
0.3939 0.3939 0.2123 W
0.0000 0.0000 0.0000 Fe
```

***

Arrangement b

FeCo2W2: relaxed, GGA-PBE.

The structure in POSCAR format:
```
FeCo2W2
1.0
-5.5832 2.8010 -1.9469
-1.7220 -5.5378 -3.0290
-1.3646 -0.9604 2.5316
Co W Fe
4 4 2
Direct
0.8736 0.6264 0.0000 Co
0.1264 0.3736 0.0000 Co
0.6264 0.1264 0.0000 Co
0.3736 0.8736 0.0000 Co
0.8222 0.3222 0.5000 W
0.6778 0.8222 0.5000 W
0.3222 0.1778 0.5000 W
0.1778 0.6778 0.5000 W
0.0000 0.0000 0.0000 Fe
0.5000 0.5000 0.0000 Fe
```

***

Arrangement c

FeCo2W2: relaxed, GGA-PBE.

The structure in POSCAR format:
```
FeCo2W2
1.0
7.2308 0.0000 0.0000
0.0000 7.2308 0.0000
0.0000 0.0000 2.6545
W Fe Co
4 2 4
Direct
0.3355 0.8355 0.0000 W
0.6645 0.1645 0.0000 W
0.1645 0.3355 0.0000 W
0.8355 0.6645 0.0000 W
0.5000 0.5000 0.0000 Fe
0.0000 0.0000 0.0000 Fe
0.6292 0.8708 0.5000 Co
0.8708 0.3708 0.5000 Co
0.3708 0.1292 0.5000 Co
0.1292 0.6292 0.5000 Co
```

***

Most stable to least stable, the ends of the list are arrangement b and arrangement a.

***

Arrangement a

FeCo4W: relaxed, GGA-PBE.

The structure in POSCAR format:
```
FeCo4W
1.0
3.9978 -0.0525 -0.1532
-1.9624 3.4834 -0.1532
0.1944 0.3277 4.9812
Co W Fe
4 1 1
Direct
0.3331 0.1665 0.7601 Co
0.6665 0.8331 0.7601 Co
0.6669 0.8335 0.2399 Co
0.3335 0.1669 0.2399 Co
0.0000 0.5000 0.5000 W
0.0000 0.5000 0.0000 Fe
```

***

Arrangement b

FeCo4W: relaxed, GGA-PBE.

The structure in POSCAR format:
```
FeCo4W
1.0
0.0000 3.2719 3.2719
3.2719 0.0000 3.2719
3.2719 3.2719 0.0000
Co W Fe
4 1 1
Direct
0.3754 0.8737 0.3754 Co
0.8737 0.3754 0.3754 Co
0.3754 0.3754 0.3754 Co
0.3754 0.3754 0.8737 Co
0.0000 0.0000 0.0000 W
0.7500 0.7500 0.7500 Fe
```

***

Most stable to least stable, the ends of the list are arrangement b and arrangement a.

***

Arrangement a

YFe3Co: relaxed, GGA-PBE.

The structure in POSCAR format:
```
YFe3Co
1.0
-4.0455 -1.1712 1.8557
-0.6483 -3.0802 -3.3575
2.0964 -3.2127 2.5426
Fe Y Co
3 1 1
Direct
0.5000 0.0000 0.0000 Fe
0.0000 0.5000 0.0000 Fe
0.0000 0.0000 0.5000 Fe
0.0000 0.0000 0.0000 Y
0.5000 0.5000 0.5000 Co
```

***

Arrangement b

YFe3Co: relaxed, GGA-PBE.

The structure in POSCAR format:
```
YFe3Co
1.0
-4.2625 0.9295 0.6850
-0.9069 -4.3167 0.2143
0.7146 0.0661 4.3574
Fe Co Y
3 1 1
Direct
0.0000 0.5000 0.0000 Fe
0.5000 0.0000 0.0000 Fe
0.0000 0.0000 0.5000 Fe
0.0000 0.0000 0.0000 Co
0.5000 0.5000 0.5000 Y
```

***

Most stable to least stable, the ends of the list are arrangement b and arrangement a.

***

Arrangement a

YFeCo2: relaxed, GGA-PBE.

The structure in POSCAR format:
```
YFeCo2
1.0
-2.6932 -4.3379 0.6039
1.3056 -3.9839 -2.9765
1.7712 3.3207 3.5030
Fe Co Y
1 2 1
Direct
0.5221 0.5221 0.0000 Fe
0.7475 0.2475 0.5000 Co
0.9812 0.9812 0.0000 Co
0.2493 0.7493 0.5000 Y
```

***

Arrangement b

YFeCo2: relaxed, GGA-PBE.

The structure in POSCAR format:
```
YFeCo2
1.0
3.8110 0.0000 0.0000
0.0000 3.2420 0.0021
0.0000 1.6324 5.2106
Y Co Fe
1 2 1
Direct
0.5000 0.7911 0.7962 Y
0.0000 0.1704 0.0355 Co
0.5000 0.0432 0.2847 Co
0.0000 0.4953 0.3836 Fe
```

***

Most stable to least stable, the ends of the list are arrangement b and arrangement a.